1.
Here is As2WSe after structural relaxation from the Alexandria database. Energies are from PBE-GGA.

Cell: 4.8015 4.8015 6.4642 Å, 74.69 74.69 39.35°
Element x y z (fractional)
As  0.2104  0.2104  0.1957
As  0.0778  0.0778  0.9104
W  0.8056  0.8056  0.8491
Se  0.4061  0.4061  0.5449

The uncorrected formation energy is 0.07 eV/atom.

=====

2.
Here is YZnCoGe2 after structural relaxation from the Alexandria database. Energies are from PBE-GGA.

Cell: 5.6618 5.4993 5.5388 Å, 90.00 90.00 90.00°
Element x y z (fractional)
Ge  0.7469  0.2500  0.7417
Ge  0.7469  0.2500  0.2583
Ge  0.2531  0.7500  0.2583
Ge  0.2531  0.7500  0.7417
Zn  0.6316  0.7500  0.0000
Zn  0.3684  0.2500  0.0000
Y  0.2252  0.2500  0.5000
Y  0.7748  0.7500  0.5000
Co  0.0000  0.0000  0.0000
Co  0.0000  0.5000  0.0000

Its calculated formation energy is -0.44 eV/atom.

=====

Please write out number 2 again, unchanged.
Here is YZnCoGe2 after structural relaxation from the Alexandria database. Energies are from PBE-GGA.

Cell: 5.6618 5.4993 5.5388 Å, 90.00 90.00 90.00°
Element x y z (fractional)
Ge  0.7469  0.2500  0.7417
Ge  0.7469  0.2500  0.2583
Ge  0.2531  0.7500  0.2583
Ge  0.2531  0.7500  0.7417
Zn  0.6316  0.7500  0.0000
Zn  0.3684  0.2500  0.0000
Y  0.2252  0.2500  0.5000
Y  0.7748  0.7500  0.5000
Co  0.0000  0.0000  0.0000
Co  0.0000  0.5000  0.0000

Its calculated formation energy is -0.44 eV/atom.